# 1
## In4GaPb (PBE)

Data for an optimized crystal structure of In4GaPb.

Values from the calculation:
Fermi-level density of states = 0.754 states/eV/atom
Calculated formation energy = 0.14 eV per atom

Unit cell a=6.211 b=6.211 c=6.211 alpha=60.00 beta=60.00 gamma=60.00
Fractional positions:
In 0.625 0.625 0.125
In 0.125 0.625 0.625
In 0.625 0.625 0.625
In 0.625 0.125 0.625
Pb 0.250 0.250 0.250
Ga 0.000 0.000 0.000



# 2
## NbTeH2PdI (PBE)

Data for an optimized crystal structure of NbTeH2PdI.

Values from the calculation:
Raw total energy = -27.5 eV/f.u.
Fermi-level density of states = 0.473 states/eV/atom

Unit cell a=3.680 b=4.093 c=7.313 alpha=90.00 beta=90.06 gamma=90.00
Fractional positions:
Nb 0.975 0.500 0.344
I 0.975 0.000 0.627
Pd 0.975 0.000 0.033
Te 0.475 0.500 0.043
H 0.475 0.500 0.427
H 0.981 0.000 0.272



# 3
## MnHg2 (PBE)

Data for an optimized crystal structure of MnHg2.

Values from the calculation:
Fermi-level density of states = 0.686 states/eV/atom
Calculated formation energy = 0.37 eV per atom

Unit cell a=6.506 b=6.506 c=6.506 alpha=90.00 beta=90.00 gamma=90.00
Last column: magnetic moment on the atom in μB.
Fractional positions:
Hg 0.250 0.750 0.250  -0.02
Hg 0.750 0.750 0.750  -0.02
Hg 0.750 0.750 0.250  -0.02
Hg 0.250 0.250 0.250  -0.02
Hg 0.750 0.250 0.250  -0.02
Hg 0.750 0.250 0.750  -0.02
Hg 0.250 0.250 0.750  -0.02
Hg 0.250 0.750 0.750  -0.02
Mn 0.000 0.500 0.500  3.85
Mn 0.500 0.000 0.500  3.85
Mn 0.000 0.000 0.000  3.85
Mn 0.500 0.500 0.000  3.85



# 4
## KSrNbBiO6 (PBE)

Data for an optimized crystal structure of KSrNbBiO6.

Values from the calculation:
Formation energy (no corrections) = -2.0612 eV per atom
Fermi-level density of states = 0.239 states/eV/atom

Unit cell a=5.983 b=5.983 c=5.983 alpha=60.00 beta=60.00 gamma=60.00
Fractional positions:
O 0.263 0.737 0.737
O 0.737 0.263 0.737
O 0.737 0.737 0.263
O 0.263 0.263 0.737
O 0.263 0.737 0.263
O 0.737 0.263 0.263
Bi 0.000 0.000 0.000
Nb 0.500 0.500 0.500
Sr 0.750 0.750 0.750
K 0.250 0.250 0.250



# 5
## Pr2TmCu2 (PBE)

Data for an optimized crystal structure of Pr2TmCu2.

Values from the calculation:
Fermi-level density of states = 0.963 states/eV/atom
Calculated formation energy = -0.10 eV per atom

Unit cell a=4.648 b=6.424 c=9.304 alpha=82.45 beta=75.53 gamma=68.79
Fractional positions:
Cu 0.960 0.171 0.908
Cu 0.040 0.829 0.092
Cu 0.875 0.685 0.564
Cu 0.125 0.315 0.436
Pr 0.321 0.267 0.091
Pr 0.465 0.378 0.692
Pr 0.535 0.622 0.308
Pr 0.679 0.733 0.909
Tm 0.798 0.045 0.358
Tm 0.202 0.955 0.642



# 6
## TbTm2Pt (PBE)

Data for an optimized crystal structure of TbTm2Pt.

Values from the calculation:
Fermi-level density of states = 1.268 states/eV/atom
Calculated formation energy = -0.70 eV per atom

Unit cell a=3.762 b=6.369 c=9.195 alpha=90.00 beta=90.00 gamma=107.25
Fractional positions:
Pt 0.242 0.483 0.250
Pt 0.758 0.517 0.750
Tm 0.362 0.725 0.937
Tm 0.362 0.725 0.563
Tm 0.638 0.275 0.437
Tm 0.638 0.275 0.063
Tb 0.066 0.131 0.750
Tb 0.934 0.869 0.250



Q: What is the formula in the fourth record?
A: KSrNbBiO6



Q: What is the formula in the first record?
A: In4GaPb



Q: Which of these has the lowest Fermi-level density of states?
A: KSrNbBiO6